A geometry-optimized Na2AlP structure. Source: Alexandria, functional PBE.

Offset from the most stable computed form   76 meV/atom
Total DFT energy (no corrections)   -44.144 eV per cell
DFT formation energy   189 meV per atom
Total moment   0.00 μB per formula unit

a b c (Å): 3.9618 3.9618 21.1736
angles (deg): 90.00 90.00 90.00
Space group I-42d (No. 122)
One atom of each set of equivalent atoms:
Na 0.2323 0.2500 0.1250 (multiplicity 8)
Al 0.0000 0.0000 0.5000 (multiplicity 4)
P 0.0000 0.0000 0.0000 (multiplicity 4)